(1)
Compound: LuThZnRe
Source: the Alexandria database
Functional: PBE
Structure: optimized geometry

The value obtained for the formation energy is -0.0661 eV/atom. As for the density of states at the Fermi level: 22.04 states/eV/cell. As for the calculated volume: 87.9 Å³/f.u. The value obtained for the size of the total moment is 0.0 μB per cell.

The space group is F-43m (No. 216) and the conventional cell measures 7.057, 7.057 and 7.057 Å, with angles of 90.00, 90.00 and 90.00 degrees. The inequivalent atoms are Lu at (0.000, 0.000, 0.000), Th at (0.000, 0.000, 0.500), Zn at (0.250, 0.250, 0.750) and Re at (0.250, 0.250, 0.250).


(2)
Compound: LuTiRe4
Source: the Alexandria database
Functional: PBE
Structure: optimized geometry

The value obtained for the formation energy is -0.1894 eV/atom. As for the density of states at the Fermi level: 33.01 states/eV/cell. As for the calculated volume: 103.9 Å³/f.u. The value obtained for the size of the total moment is 0.0 μB per cell.

The space group is F-43m (No. 216) and the conventional cell measures 7.462, 7.462 and 7.462 Å, with angles of 90.00, 90.00 and 90.00 degrees. The inequivalent atoms are Lu at (0.000, 0.000, 0.000), Ti at (0.250, 0.250, 0.250) and Re at (0.125, 0.125, 0.625).


(3)
Compound: LuTi2Re
Source: the Alexandria database
Functional: PBE
Structure: optimized geometry

The value obtained for the formation energy is -0.0820 eV/atom. As for the density of states at the Fermi level: 5.61 states/eV/cell. As for the calculated volume: 75.8 Å³/f.u. The value obtained for the size of the total moment is 0.0 μB per cell.

The space group is P4/mmm (No. 123) and the conventional cell measures 3.200, 3.200 and 7.406 Å, with angles of 90.00, 90.00 and 90.00 degrees. The inequivalent atoms are Lu at (0.000, 0.000, 0.000), Ti at (0.500, 0.500, 0.307) and Re at (0.000, 0.000, 0.500).


(4)
Compound: LuTiRe
Source: the Alexandria database
Functional: PBE
Structure: optimized geometry

The value obtained for the formation energy is -0.1129 eV/atom. As for the density of states at the Fermi level: 4.08 states/eV/cell. As for the calculated volume: 58.3 Å³/f.u. The value obtained for the size of the total moment is 0.0 μB per cell.

The space group is I4mm (No. 107) and the conventional cell measures 3.303, 3.303 and 10.678 Å, with angles of 90.00, 90.00 and 90.00 degrees. The inequivalent atoms are Lu at (0.000, 0.000, 0.000), Ti at (0.000, 0.000, 0.285) and Re at (0.000, 0.000, 0.673).


(5)
Compound: LuTiZnRe
Source: the Alexandria database
Functional: PBE
Structure: optimized geometry

The value obtained for the formation energy is -0.1197 eV/atom. As for the density of states at the Fermi level: 16.82 states/eV/cell. As for the calculated volume: 70.1 Å³/f.u. The value obtained for the size of the total moment is 0.0 μB per cell.

The space group is F-43m (No. 216) and the conventional cell measures 6.545, 6.545 and 6.545 Å, with angles of 90.00, 90.00 and 90.00 degrees. The inequivalent atoms are Lu at (0.000, 0.000, 0.000), Ti at (0.000, 0.000, 0.500), Zn at (0.250, 0.250, 0.250) and Re at (0.250, 0.250, 0.750).


(6)
Compound: Lu2TlRe
Source: the Alexandria database
Functional: PBE
Structure: optimized geometry

The value obtained for the formation energy is -0.1224 eV/atom. As for the density of states at the Fermi level: 2.65 states/eV/cell. As for the calculated volume: 91.1 Å³/f.u. The value obtained for the size of the total moment is 0.0 μB per cell.

The space group is P4/mmm (No. 123) and the conventional cell measures 3.466, 3.466 and 7.588 Å, with angles of 90.00, 90.00 and 90.00 degrees. The inequivalent atoms are Lu at (0.000, 0.000, 0.209), Tl at (0.500, 0.500, 0.500) and Re at (0.500, 0.500, 0.000).


(7)
Compound: TmLu2Re
Source: the Alexandria database
Functional: PBE
Structure: optimized geometry

The value obtained for the formation energy is 0.7241 eV/atom. As for the density of states at the Fermi level: 15.05 states/eV/cell. As for the calculated volume: 96.1 Å³/f.u. The value obtained for the size of the total moment is 0.0 μB per cell.

The space group is R-3m (No. 166, hexagonal axes) and the conventional cell measures 3.1634, 3.1634 and 33.2675 Å, with angles of 90.00, 90.00 and 120.00 degrees. The inequivalent atoms are Tm at (0.0000, 0.0000, 0.0000), Lu at (0.0000, 0.0000, 0.4196) and Re at (0.0000, 0.0000, 0.5000).


(8)
Compound: TmLuZnRe
Source: the Alexandria database
Functional: PBE
Structure: optimized geometry

The value obtained for the formation energy is -0.0849 eV/atom. As for the density of states at the Fermi level: 11.26 states/eV/cell. As for the calculated volume: 80.3 Å³/f.u. The value obtained for the size of the total moment is 0.0 μB per cell.

The space group is F-43m (No. 216) and the conventional cell measures 6.849, 6.849 and 6.849 Å, with angles of 90.00, 90.00 and 90.00 degrees. The inequivalent atoms are Tm at (0.000, 0.000, 0.000), Lu at (0.000, 0.000, 0.500), Zn at (0.250, 0.250, 0.750) and Re at (0.250, 0.250, 0.250).


(9)
Compound: LuURe4
Source: the Alexandria database
Functional: PBE
Structure: optimized geometry

The value obtained for the formation energy is -0.0399 eV/atom. As for the density of states at the Fermi level: 49.79 states/eV/cell. As for the calculated volume: 110.7 Å³/f.u. The value obtained for the size of the total moment is 9.0 μB per cell.

The space group is F-43m (No. 216) and the conventional cell measures 7.622, 7.622 and 7.622 Å, with angles of 90.00, 90.00 and 90.00 degrees. The inequivalent atoms are Lu at (0.000, 0.000, 0.000), U at (0.250, 0.250, 0.250) and Re at (0.125, 0.125, 0.625).


(10)
Compound: LuV2Re
Source: the Alexandria database
Functional: PBE
Structure: optimized geometry

The value obtained for the formation energy is 0.0916 eV/atom. As for the density of states at the Fermi level: 6.59 states/eV/cell. As for the calculated volume: 67.6 Å³/f.u. The value obtained for the size of the total moment is 0.0 μB per cell.

The space group is P4/mmm (No. 123) and the conventional cell measures 3.106, 3.106 and 7.009 Å, with angles of 90.00, 90.00 and 90.00 degrees. The inequivalent atoms are Lu at (0.000, 0.000, 0.000), V at (0.500, 0.500, 0.298) and Re at (0.000, 0.000, 0.500).


(11)
Compound: LuVRe2
Source: the Alexandria database
Functional: PBE
Structure: optimized geometry

The value obtained for the formation energy is 0.2677 eV/atom. As for the density of states at the Fermi level: 13.24 states/eV/cell. As for the calculated volume: 67.0 Å³/f.u. The value obtained for the size of the total moment is 0.0 μB per cell.

The space group is R-3m (No. 166, hexagonal axes) and the conventional cell measures 2.9867, 2.9867 and 26.0180 Å, with angles of 90.00, 90.00 and 120.00 degrees. The inequivalent atoms are Lu at (0.0000, 0.0000, 0.0000), V at (0.0000, 0.0000, 0.5000) and Re at (0.0000, 0.0000, 0.2402).


(12)
Compound: YLuRe4
Source: the Alexandria database
Functional: PBE
Structure: optimized geometry

The value obtained for the formation energy is -0.2187 eV/atom. As for the density of states at the Fermi level: 30.85 states/eV/cell. As for the calculated volume: 111.1 Å³/f.u. The value obtained for the size of the total moment is 0.0 μB per cell.

The space group is F-43m (No. 216) and the conventional cell measures 7.630, 7.630 and 7.630 Å, with angles of 90.00, 90.00 and 90.00 degrees. The inequivalent atoms are Y at (0.000, 0.000, 0.000), Lu at (0.250, 0.250, 0.750) and Re at (0.125, 0.125, 0.375).